Record 1
A plane-wave DFT calculation with PBE was carried out for ZrBiIr after structural relaxation.

POSCAR file:
```
ZrBiIr
1.0
4.785 0.000 0.000
-2.393 4.144 0.000
0.000 0.000 6.126
Zr Bi Ir
2 2 2
Direct
0.000 0.000 0.000
0.000 0.000 0.500
0.333 0.667 0.250
0.667 0.333 0.750
0.333 0.667 0.750
0.667 0.333 0.250
```

Results
total magnetization	0.0	μB per formula unit
space group	P6_3/mmc, No. 194

Record 2
A plane-wave DFT calculation with PBE was carried out for Zr2BiIr after structural relaxation.

POSCAR file:
```
Zr2BiIr
1.0
0.000 3.468 3.468
3.468 0.000 3.468
3.468 3.468 0.000
Zr Bi Ir
2 1 1
Direct
0.000 0.000 0.000
0.250 0.250 0.250
0.500 0.500 0.500
0.750 0.750 0.750
```

Results
total magnetization	2.0	μB per formula unit
space group	F-43m, No. 216

Record 3
A plane-wave DFT calculation with PBE was carried out for ZrBiIr2 after structural relaxation.

POSCAR file:
```
ZrBiIr2
1.0
0.000 3.347 3.347
3.347 0.000 3.347
3.347 3.347 0.000
Zr Bi Ir
1 1 2
Direct
0.000 0.000 0.000
0.750 0.750 0.750
0.250 0.250 0.250
0.500 0.500 0.500
```

Results
total magnetization	0.0	μB per formula unit
space group	F-43m, No. 216

Record 4
A plane-wave DFT calculation with PBE was carried out for ZrBi2Ir after structural relaxation.

POSCAR file:
```
ZrBi2Ir
1.0
0.000 3.592 3.592
3.592 0.000 3.592
3.592 3.592 0.000
Zr Bi Ir
1 2 1
Direct
0.000 0.000 0.000
0.500 0.500 0.500
0.750 0.750 0.750
0.250 0.250 0.250
```

Results
total magnetization	0.0	μB per formula unit
space group	F-43m, No. 216

Record 5
A plane-wave DFT calculation with PBE was carried out for KLuBi after structural relaxation.

POSCAR file:
```
KLuBi
1.0
0.000 3.838 3.838
3.838 0.000 3.838
3.838 3.838 0.000
K Lu Bi
1 1 1
Direct
0.000 0.000 0.000
0.750 0.750 0.750
0.500 0.500 0.500
```

Results
total magnetization	0.7	μB per formula unit
space group	F-43m, No. 216

Record 6
A plane-wave DFT calculation with PBE was carried out for KMgNiBi after structural relaxation.

POSCAR file:
```
KMgNiBi
1.0
0.000 3.581 3.581
3.581 0.000 3.581
3.581 3.581 0.000
K Mg Ni Bi
1 1 1 1
Direct
0.000 0.000 0.000
0.250 0.250 0.250
0.750 0.750 0.750
0.500 0.500 0.500
```

Results
total magnetization	0.0	μB per formula unit
E above lowest polymorph	9	meV/atom
space group	F-43m, No. 216

Record 7
A plane-wave DFT calculation with PBE was carried out for KMgNiBi after structural relaxation.

POSCAR file:
```
KMgNiBi
1.0
0.000 3.672 3.672
3.672 0.000 3.672
3.672 3.672 0.000
K Mg Ni Bi
1 1 1 1
Direct
0.000 0.000 0.000
0.500 0.500 0.500
0.750 0.750 0.750
0.250 0.250 0.250
```

Results
total magnetization	0.4	μB per formula unit
E above lowest polymorph	79	meV/atom
space group	F-43m, No. 216

Record 8
A plane-wave DFT calculation with PBE was carried out for KMgNiBi after structural relaxation.

POSCAR file:
```
KMgNiBi
1.0
0.000 3.563 3.563
3.563 0.000 3.563
3.563 3.563 0.000
K Mg Ni Bi
1 1 1 1
Direct
0.000 0.000 0.000
0.250 0.250 0.250
0.500 0.500 0.500
0.750 0.750 0.750
```

Results
total magnetization	0.0	μB per formula unit
E above lowest polymorph	0	meV/atom
space group	F-43m, No. 216

Record 9
A plane-wave DFT calculation with PBE was carried out for KMgBiPd after structural relaxation.

POSCAR file:
```
KMgBiPd
1.0
0.000 3.615 3.615
3.615 0.000 3.615
3.615 3.615 0.000
K Mg Bi Pd
1 1 1 1
Direct
0.000 0.000 0.000
0.250 0.250 0.250
0.750 0.750 0.750
0.500 0.500 0.500
```

Results
E above lowest polymorph	0	meV/atom
space group	F-43m, No. 216

Record 10
A plane-wave DFT calculation with PBE was carried out for KMgBiPd after structural relaxation.

POSCAR file:
```
KMgBiPd
1.0
0.000 3.658 3.658
3.658 0.000 3.658
3.658 3.658 0.000
K Mg Bi Pd
1 1 1 1
Direct
0.000 0.000 0.000
0.250 0.250 0.250
0.500 0.500 0.500
0.750 0.750 0.750
```

Results
E above lowest polymorph	12	meV/atom
space group	F-43m, No. 216

Record 11
A plane-wave DFT calculation with PBE was carried out for KMgBiPd after structural relaxation.

POSCAR file:
```
KMgBiPd
1.0
0.000 3.693 3.693
3.693 0.000 3.693
3.693 3.693 0.000
K Mg Bi Pd
1 1 1 1
Direct
0.000 0.000 0.000
0.500 0.500 0.500
0.250 0.250 0.250
0.750 0.750 0.750
```

Results
E above lowest polymorph	57	meV/atom
space group	F-43m, No. 216

Record 12
A plane-wave DFT calculation with PBE was carried out for K2NbBiO4 after structural relaxation.

POSCAR file:
```
K2NbBiO4
1.0
4.129 -3.995 0.000
4.129 3.995 0.000
-3.650 0.000 4.609
K Nb Bi O
2 1 1 4
Direct
0.000 0.000 0.000
0.740 0.260 0.500
0.293 0.707 0.500
0.461 0.539 0.000
0.103 0.544 0.064
0.166 0.406 0.510
0.456 0.897 0.936
0.594 0.834 0.490
```

Results
total magnetization	0.0	μB per formula unit
space group	C2, No. 5

Record 13
A plane-wave DFT calculation with PBE was carried out for KNdBiSe3 after structural relaxation.

POSCAR file:
```
KNdBiSe3
1.0
2.195 -7.990 0.000
2.195 7.990 0.000
0.000 0.000 11.439
K Nd Bi Se
2 2 2 6
Direct
0.248 0.752 0.750
0.752 0.248 0.250
0.000 0.000 0.000
0.000 0.000 0.500
0.460 0.540 0.250
0.540 0.460 0.750
0.093 0.907 0.250
0.372 0.628 0.036
0.372 0.628 0.464
0.628 0.372 0.536
0.628 0.372 0.964
0.907 0.093 0.750
```

Results
total magnetization	0.0	μB per formula unit
space group	Cmcm, No. 63

Record 14
A plane-wave DFT calculation with PBE was carried out for K2Ni3Bi2 after structural relaxation.

POSCAR file:
```
K2Ni3Bi2
1.0
2.218 1.280 11.407
-2.218 1.280 11.407
0.000 -2.561 11.407
K Ni Bi
2 3 2
Direct
0.000 0.000 0.000
0.494 0.494 0.494
0.403 0.403 0.403
0.586 0.586 0.586
0.905 0.905 0.905
0.247 0.247 0.247
0.744 0.744 0.744
```

Results
total magnetization	0.4	μB per formula unit
space group	R3m, No. 160

no.,energy (eV per cell)
1,-44.27
2,-29.88
3,-29.92
4,-24.59
5,-9.22
6,-11.16
7,-10.88
8,-11.19
9,-12.19
10,-12.14
11,-11.96
12,-48.47
13,-52.51
14,-26.53